[1]
VASP calculation (PBE) on a relaxed Ce5PN8 crystal.

- Space-group type: No. 82
- Formation energy from raw total energies: -1.038 eV per atom

Cell: 6.759 6.759 6.759 Å, 107.67 113.13 107.67°
Site moments in Bohr magnetons follow the coordinates.
Positions (direct):
N1 0.180 0.361 0.459  -0.02
N2 0.575 0.206 0.319  -0.03
N3 0.631 0.744 0.425  -0.03
N4 0.113 0.794 0.369  -0.03
N5 0.098 0.639 0.819  -0.02
N6 0.541 0.721 0.902  -0.02
N7 0.681 0.256 0.887  -0.03
N8 0.181 0.279 0.820  -0.02
Ce1 0.879 0.953 0.323  0.32
Ce2 0.500 0.000 0.500  0.18
Ce3 0.073 0.444 0.121  0.32
Ce4 0.677 0.556 0.629  0.32
Ce5 0.371 0.047 0.927  0.32
P1 0.250 0.500 0.750  0.00

=====

[2]
VASP calculation (PBE) on a relaxed NaCrFe2Tc crystal.

- Space-group type: No. 123
- Formation energy from the elements: 1.566 eV per atom

Cell: 4.461 5.095 4.461 Å, 90.00 90.00 90.00°
Site moments in Bohr magnetons follow the coordinates.
Positions (direct):
Fe1 0.000 0.000 0.500  2.27
Fe2 0.500 0.000 0.000  1.97
Cr1 0.500 0.500 0.500  -4.04
Tc1 0.000 0.000 0.000  0.15
Na1 0.000 0.500 0.000  0.01

=====

[3]
VASP calculation (PBE) on a relaxed YScTa2Ni crystal.

- Space-group type: No. 123
- Formation energy from the elements: 1.822 eV per atom

Cell: 4.728 5.335 4.728 Å, 90.00 90.00 90.00°
Site moments in Bohr magnetons follow the coordinates.
Positions (direct):
Ta1 0.000 0.000 0.500  0.12
Ta2 0.500 0.000 0.000  0.23
Sc1 0.000 0.000 0.000  0.03
Ni1 0.500 0.500 0.500  0.29
Y1 0.000 0.500 0.000  0.02

=====

[4]
VASP calculation (PBE) on a relaxed K5Si crystal.

- Space-group type: No. 8
- Formation energy from raw total energies: 0.190 eV per atom

Cell: 7.851 7.851 11.222 Å, 66.34 66.34 31.86°
Positions (direct):
K1 0.695 0.695 0.612
K2 0.349 0.349 0.859
K3 0.040 0.040 0.363
K4 0.316 0.316 0.226
K5 0.072 0.072 0.996
Si1 0.694 0.694 0.111

=====

[5]
VASP calculation (PBE) on a relaxed TaNi3B crystal.

- Space-group type: No. 221
- Formation energy from the elements: -0.040 eV per atom

Cell: 3.871 3.871 3.871 Å, 90.00 90.00 90.00°
Positions (direct):
Ta1 0.500 0.500 0.500
Ni1 0.500 0.000 0.000
Ni2 0.000 0.500 0.000
Ni3 0.000 0.000 0.500
B1 0.000 0.000 0.000

=====

[6]
VASP calculation (PBE) on a relaxed CsTlFe2I8 crystal.

- Space-group type: No. 147
- Formation energy from raw total energies: -0.509 eV per atom

Cell: 7.613 7.613 11.561 Å, 90.00 90.00 120.00°
Site moments in Bohr magnetons follow the coordinates.
Positions (direct):
I1 0.990 0.649 0.299  0.18
I2 0.667 0.333 0.009  0.20
I3 0.333 0.667 0.991  0.20
I4 0.649 0.659 0.701  0.18
I5 0.351 0.341 0.299  0.18
I6 0.659 0.010 0.299  0.18
I7 0.341 0.990 0.701  0.18
I8 0.010 0.351 0.701  0.18
Cs1 0.000 0.000 0.000  0.00
Tl1 0.000 0.000 0.500  0.03
Fe1 0.667 0.333 0.230  3.53
Fe2 0.333 0.667 0.770  3.53

=====

[7]
VASP calculation (PBE) on a relaxed Pr2CdPd9 crystal.

- Space-group type: No. 123
- Formation energy from the elements: -0.564 eV per atom

Cell: 4.181 4.181 12.360 Å, 90.00 90.00 90.00°
Positions (direct):
Pd1 0.500 0.500 0.670
Pd2 0.500 0.500 0.000
Pd3 0.000 0.500 0.500
Pd4 0.500 0.000 0.500
Pd5 0.500 0.500 0.330
Pd6 0.000 0.500 0.843
Pd7 0.500 0.000 0.157
Pd8 0.000 0.500 0.157
Pd9 0.500 0.000 0.843
Cd1 0.000 0.000 0.000
Pr1 0.000 0.000 0.326
Pr2 0.000 0.000 0.674

=====

[8]
VASP calculation (PBE) on a relaxed Ba2CuBiAs crystal.

- Space-group type: No. 123
- Formation energy from the elements: 0.180 eV per atom

Cell: 6.675 5.414 6.675 Å, 90.00 90.00 90.00°
Positions (direct):
Ba1 0.000 0.000 0.500
Ba2 0.500 0.000 0.000
As1 0.000 0.500 0.000
Cu1 0.500 0.500 0.500
Bi1 0.000 0.000 0.000

=====

Number 1: DFT total energy -8.301 eV per atom. Number 2: DFT total energy -6.080 eV per atom. Number 3: DFT total energy -6.635 eV per atom. Number 4: DFT total energy -1.628 eV per atom. Number 5: DFT total energy -7.215 eV per atom. Number 6: DFT total energy -3.221 eV per atom. Number 7: DFT total energy -5.331 eV per atom. Number 8: DFT total energy -3.115 eV per atom.